This record from the Alexandria database describes crystalline Pr2Y3Sc at its relaxed geometry. The functional is PBE.

Space group: Pnnm
Energy above the most stable polymorph in this dataset: 184 meV/atom
ΔH_f (0 K): 0.259 eV per atom

Structure (CIF):
```
data_Pr2Y3Sc
_chemical_formula_sum 'Pr4 Y6 Sc2'
_space_group_name_H-M_alt 'P 1'
_space_group_IT_number 1
_space_group_name_Hall 'P 1'
_cell_length_a 3.3734
_cell_length_b 6.6454
_cell_length_c 17.4544
_cell_angle_alpha 90.00
_cell_angle_beta 90.00
_cell_angle_gamma 90.00
loop_
_atom_site_label
_atom_site_fract_x
_atom_site_fract_y
_atom_site_fract_z
Y1 0.0000 0.2558 0.6752
Y2 0.5000 0.2442 0.1752
Pr1 0.5000 0.7474 0.1490
Y3 0.5000 0.7558 0.8248
Pr2 0.0000 0.7526 0.6490
Y4 0.0000 0.0000 0.0000
Sc1 0.5000 0.5000 0.0000
Sc2 0.0000 0.0000 0.5000
Y5 0.0000 0.7442 0.3248
Pr3 0.5000 0.2526 0.8510
Y6 0.5000 0.5000 0.5000
Pr4 0.0000 0.2474 0.3510
```